Arrangement 1

A plane-wave DFT calculation with GGA-PBE was carried out for an optimized crystal structure of CaOs3Pb.

- mass density (g cm⁻³) = 10.73
- total magnetization (μB/f.u.) = 3.4
- density of states at the Fermi level (states/eV per cell) = 7.514

Cell: 5.022 5.022 5.022 Å, 90.00 90.00 90.00°
Space group Pm-3m (No. 221)
Unique sites:
1 Ca 0.000 0.000 0.000 (multiplicity 1)
2 Os 0.000 0.500 0.500 (multiplicity 3)
3 Pb 0.500 0.500 0.500 (multiplicity 1)

***

Arrangement 2

A plane-wave DFT calculation with GGA-PBE was carried out for an optimized crystal structure of CaOs3Pb.

- mass density (g cm⁻³) = 12.28
- total magnetization (μB/f.u.) = 2.3
- density of states at the Fermi level (states/eV per cell) = 9.531

Cell: 4.800 4.800 4.800 Å, 90.00 90.00 90.00°
Space group Pm-3m (No. 221)
Unique sites:
1 Ca 0.000 0.000 0.000 (multiplicity 1)
2 Os 0.000 0.000 0.500 (multiplicity 3)
3 Pb 0.500 0.500 0.500 (multiplicity 1)

***

Most stable structure, least stable structure: arrangement 1, arrangement 2.

***

Arrangement 1

A plane-wave DFT calculation with GGA-PBE was carried out for an optimized crystal structure of Ca2OsPd.

- mass density (g cm⁻³) = 7.12
- total magnetization (μB/f.u.) = 1.1
- density of states at the Fermi level (states/eV per cell) = 15.042

Cell: 7.753 7.753 5.847 Å, 90.00 90.00 90.00°
Space group I-42d (No. 122)
Unique sites:
1 Ca 0.241 0.750 0.125 (multiplicity 8)
2 Os 0.000 0.000 0.500 (multiplicity 4)
3 Pd 0.000 0.000 0.000 (multiplicity 4)

***

Arrangement 2

A plane-wave DFT calculation with GGA-PBE was carried out for an optimized crystal structure of Ca2OsPd.

- mass density (g cm⁻³) = 7.54
- total magnetization (μB/f.u.) = 0.0
- density of states at the Fermi level (states/eV per cell) = 11.434

Cell: 6.923 6.923 6.923 Å, 90.00 90.00 90.00°
Space group Fm-3m (No. 225)
Unique sites:
1 Ca 0.250 0.250 0.250 (multiplicity 8)
2 Os 0.000 0.000 0.000 (multiplicity 4)
3 Pd 0.000 0.000 0.500 (multiplicity 4)

***

Most stable structure, least stable structure: arrangement 2, arrangement 1.

***

Arrangement 1

A plane-wave DFT calculation with GGA-PBE was carried out for an optimized crystal structure of CaOs2Pd.

- mass density (g cm⁻³) = 13.09
- total magnetization (μB/f.u.) = 0.0
- density of states at the Fermi level (states/eV per cell) = 15.211

Cell: 6.443 6.443 6.443 Å, 90.00 90.00 90.00°
Space group Fm-3m (No. 225)
Unique sites:
1 Ca 0.000 0.000 0.000 (multiplicity 4)
2 Os 0.250 0.250 0.250 (multiplicity 8)
3 Pd 0.000 0.000 0.500 (multiplicity 4)

***

Arrangement 2

A plane-wave DFT calculation with GGA-PBE was carried out for an optimized crystal structure of CaOs2Pd.

- mass density (g cm⁻³) = 11.28
- total magnetization (μB/f.u.) = 0.0
- density of states at the Fermi level (states/eV per cell) = 3.818

Cell: 7.989 7.989 4.860 Å, 90.00 90.00 90.00°
Space group I-42d (No. 122)
Unique sites:
1 Ca 0.000 0.000 0.000 (multiplicity 4)
2 Os 0.195 0.250 0.625 (multiplicity 8)
3 Pd 0.000 0.000 0.500 (multiplicity 4)

***

Most stable structure, least stable structure: arrangement 2, arrangement 1.

***

Arrangement 1

A plane-wave DFT calculation with GGA-PBE was carried out for an optimized crystal structure of CaPm3Os.

- mass density (g cm⁻³) = 6.94
- total magnetization (μB/f.u.) = 0.0
- density of states at the Fermi level (states/eV per cell) = 10.965

Cell: 9.072 3.907 9.251 Å, 90.00 103.94 90.00°
Space group P2_1/m (No. 11)
Unique sites:
1 Ca 0.016 0.250 0.181 (multiplicity 2)
2 Pm 0.199 0.250 0.583 (multiplicity 2)
3 Pm 0.338 0.250 0.975 (multiplicity 2)
4 Pm 0.401 0.750 0.333 (multiplicity 2)
5 Os 0.402 0.750 0.757 (multiplicity 2)

***

Arrangement 2

A plane-wave DFT calculation with GGA-PBE was carried out for an optimized crystal structure of CaPm3Os.

- mass density (g cm⁻³) = 6.26
- total magnetization (μB/f.u.) = 0.0
- density of states at the Fermi level (states/eV per cell) = 2.857

Cell: 5.611 5.611 5.611 Å, 90.00 90.00 90.00°
Space group Pm-3m (No. 221)
Unique sites:
1 Ca 0.000 0.000 0.000 (multiplicity 1)
2 Pm 0.000 0.500 0.500 (multiplicity 3)
3 Os 0.500 0.500 0.500 (multiplicity 1)

***

Most stable structure, least stable structure: arrangement 1, arrangement 2.

***

Arrangement 1

A plane-wave DFT calculation with GGA-PBE was carried out for an optimized crystal structure of CaPr3Os.

- mass density (g cm⁻³) = 5.88
- total magnetization (μB/f.u.) = 0.0
- density of states at the Fermi level (states/eV per cell) = 3.146

Cell: 5.693 5.693 5.693 Å, 90.00 90.00 90.00°
Space group Pm-3m (No. 221)
Unique sites:
1 Ca 0.000 0.000 0.000 (multiplicity 1)
2 Pr 0.000 0.500 0.500 (multiplicity 3)
3 Os 0.500 0.500 0.500 (multiplicity 1)

***

Arrangement 2

A plane-wave DFT calculation with GGA-PBE was carried out for an optimized crystal structure of CaPr3Os.

- mass density (g cm⁻³) = 6.19
- total magnetization (μB/f.u.) = 0.0
- density of states at the Fermi level (states/eV per cell) = 10.175

Cell: 6.435 6.861 8.554 Å, 108.26 90.23 101.77°
Space group P-1 (No. 2)
Unique sites:
1 Ca 0.089 0.248 0.188 (multiplicity 2)
2 Pr 0.083 0.246 0.683 (multiplicity 2)
3 Pr 0.404 0.751 0.564 (multiplicity 2)
4 Pr 0.405 0.745 0.060 (multiplicity 2)
5 Os 0.487 0.491 0.747 (multiplicity 2)

***

Most stable structure, least stable structure: arrangement 2, arrangement 1.

***

Arrangement 1

A plane-wave DFT calculation with GGA-PBE was carried out for an optimized crystal structure of CaOs3Pt.

- mass density (g cm⁻³) = 11.96
- total magnetization (μB/f.u.) = 0.0
- density of states at the Fermi level (states/eV per cell) = 7.221

Cell: 4.818 4.818 4.818 Å, 90.00 90.00 90.00°
Space group Pm-3m (No. 221)
Unique sites:
1 Ca 0.000 0.000 0.000 (multiplicity 1)
2 Os 0.000 0.500 0.500 (multiplicity 3)
3 Pt 0.500 0.500 0.500 (multiplicity 1)

***

Arrangement 2

A plane-wave DFT calculation with GGA-PBE was carried out for an optimized crystal structure of CaOs3Pt.

- mass density (g cm⁻³) = 14.04
- total magnetization (μB/f.u.) = 0.8
- density of states at the Fermi level (states/eV per cell) = 8.870

Cell: 4.568 4.568 4.568 Å, 90.00 90.00 90.00°
Space group Pm-3m (No. 221)
Unique sites:
1 Ca 0.000 0.000 0.000 (multiplicity 1)
2 Os 0.000 0.000 0.500 (multiplicity 3)
3 Pt 0.500 0.500 0.500 (multiplicity 1)

***

Most stable structure, least stable structure: arrangement 1, arrangement 2.

***

Arrangement 1

A plane-wave DFT calculation with GGA-PBE was carried out for an optimized crystal structure of Ca2OsPt2.

- mass density (g cm⁻³) = 10.53
- total magnetization (μB/f.u.) = 0.6
- density of states at the Fermi level (states/eV per cell) = 6.026

Cell: 6.738 6.738 4.588 Å, 90.00 90.00 90.00°
Space group P4/mbm (No. 127)
Unique sites:
1 Ca 0.178 0.322 0.000 (multiplicity 4)
2 Os 0.000 0.000 0.500 (multiplicity 2)
3 Pt 0.137 0.637 0.500 (multiplicity 4)

***

Arrangement 2

A plane-wave DFT calculation with GGA-PBE was carried out for an optimized crystal structure of Ca2OsPt2.

- mass density (g cm⁻³) = 9.82
- total magnetization (μB/f.u.) = 2.9
- density of states at the Fermi level (states/eV per cell) = 14.221

Cell: 4.261 4.261 12.299 Å, 90.00 90.00 90.00°
Space group I4/mmm (No. 139)
Unique sites:
1 Ca 0.000 0.500 0.250 (multiplicity 4)
2 Os 0.000 0.000 0.000 (multiplicity 2)
3 Pt 0.000 0.000 0.399 (multiplicity 4)

***

Most stable structure, least stable structure: arrangement 1, arrangement 2.

***

Arrangement 1

A plane-wave DFT calculation with GGA-PBE was carried out for an optimized crystal structure of RbCaOs3.

- mass density (g cm⁻³) = 8.50
- total magnetization (μB/f.u.) = 6.3
- density of states at the Fermi level (states/eV per cell) = 5.299

Cell: 5.142 5.142 5.142 Å, 90.00 90.00 90.00°
Space group Pm-3m (No. 221)
Unique sites:
1 Rb 0.000 0.000 0.000 (multiplicity 1)
2 Ca 0.500 0.500 0.500 (multiplicity 1)
3 Os 0.000 0.500 0.500 (multiplicity 3)

***

Arrangement 2

A plane-wave DFT calculation with GGA-PBE was carried out for an optimized crystal structure of RbCaOs3.

- mass density (g cm⁻³) = 10.11
- total magnetization (μB/f.u.) = 1.8
- density of states at the Fermi level (states/eV per cell) = 8.946

Cell: 4.853 4.853 4.853 Å, 90.00 90.00 90.00°
Space group Pm-3m (No. 221)
Unique sites:
1 Rb 0.000 0.000 0.000 (multiplicity 1)
2 Ca 0.500 0.500 0.500 (multiplicity 1)
3 Os 0.000 0.000 0.500 (multiplicity 3)

***

Most stable structure, least stable structure: arrangement 1, arrangement 2.

***

Arrangement 1

A plane-wave DFT calculation with GGA-PBE was carried out for an optimized crystal structure of CaRe2Os.

- mass density (g cm⁻³) = 14.50
- total magnetization (μB/f.u.) = 0.0
- density of states at the Fermi level (states/eV per cell) = 4.643

Cell: 2.835 2.835 8.587 Å, 90.00 90.00 90.00°
Space group P4mm (No. 99)
Unique sites:
1 Ca 0.000 0.000 0.000 (multiplicity 1)
2 Re 0.000 0.000 0.479 (multiplicity 1)
3 Re 0.500 0.500 0.705 (multiplicity 1)
4 Os 0.500 0.500 0.280 (multiplicity 1)

***

Arrangement 2

A plane-wave DFT calculation with GGA-PBE was carried out for an optimized crystal structure of CaRe2Os.

- mass density (g cm⁻³) = 12.79
- total magnetization (μB/f.u.) = 0.0
- density of states at the Fermi level (states/eV per cell) = 6.221

Cell: 7.615 7.615 5.399 Å, 90.00 90.00 90.00°
Space group I-42d (No. 122)
Unique sites:
1 Ca 0.000 0.000 0.000 (multiplicity 4)
2 Re 0.189 0.250 0.625 (multiplicity 8)
3 Os 0.000 0.000 0.500 (multiplicity 4)

***

Arrangement 3

A plane-wave DFT calculation with GGA-PBE was carried out for an optimized crystal structure of CaRe2Os.

- mass density (g cm⁻³) = 15.24
- total magnetization (μB/f.u.) = 0.0
- density of states at the Fermi level (states/eV per cell) = 3.694

Cell: 2.752 4.612 5.265 Å, 90.00 100.70 90.00°
Space group P2/m (No. 10)
Unique sites:
1 Ca 0.000 0.000 0.000 (multiplicity 1)
2 Re 0.265 0.500 0.746 (multiplicity 2)
3 Os 0.500 0.000 0.500 (multiplicity 1)

***

Arrangement 4

A plane-wave DFT calculation with GGA-PBE was carried out for an optimized crystal structure of CaRe2Os.

- mass density (g cm⁻³) = 15.25
- total magnetization (μB/f.u.) = 0.0
- density of states at the Fermi level (states/eV per cell) = 2.932

Cell: 3.080 4.527 4.706 Å, 90.00 90.00 90.00°
Space group Pmmm (No. 47)
Unique sites:
1 Ca 0.000 0.000 0.000 (multiplicity 1)
2 Re 0.000 0.500 0.500 (multiplicity 1)
3 Re 0.500 0.000 0.500 (multiplicity 1)
4 Os 0.500 0.500 0.000 (multiplicity 1)

***

Most stable structure, least stable structure: arrangement 1, arrangement 2.

***

Arrangement 1

A plane-wave DFT calculation with GGA-PBE was carried out for an optimized crystal structure of CaRe2Os.

- mass density (g cm⁻³) = 15.12
- total magnetization (μB/f.u.) = 0.0
- density of states at the Fermi level (states/eV per cell) = 8.326

Cell: 5.391 9.123 2.692 Å, 90.00 90.00 90.00°
Space group Cmmm (No. 65)
Unique sites:
1 Ca 0.000 0.000 0.000 (multiplicity 2)
2 Re 0.250 0.250 0.500 (multiplicity 4)
3 Os 0.000 0.500 0.000 (multiplicity 2)

***

Arrangement 2

A plane-wave DFT calculation with GGA-PBE was carried out for an optimized crystal structure of CaRe2Os.

- mass density (g cm⁻³) = 14.92
- total magnetization (μB/f.u.) = 0.0
- density of states at the Fermi level (states/eV per cell) = 4.976

Cell: 3.901 3.901 4.410 Å, 90.00 90.00 90.00°
Space group P4/mmm (No. 123)
Unique sites:
1 Ca 0.000 0.000 0.000 (multiplicity 1)
2 Re 0.000 0.500 0.500 (multiplicity 2)
3 Os 0.500 0.500 0.000 (multiplicity 1)

***

Arrangement 3

A plane-wave DFT calculation with GGA-PBE was carried out for an optimized crystal structure of CaRe2Os.

- mass density (g cm⁻³) = 14.90
- total magnetization (μB/f.u.) = 0.0
- density of states at the Fermi level (states/eV per cell) = 14.426

Cell: 2.8411 2.8411 28.8214 Å, 90.00 90.00 120.00°
Space group R-3m (No. 166, hexagonal axes)
Unique sites:
1 Ca 0.0000 0.0000 0.0000 (multiplicity 3)
2 Re 0.0000 0.0000 0.2406 (multiplicity 6)
3 Os 0.0000 0.0000 0.5000 (multiplicity 3)

***

Most stable structure, least stable structure: arrangement 3, arrangement 2.

***

Arrangement 1

A plane-wave DFT calculation with GGA-PBE was carried out for an optimized crystal structure of CaRe2Os.

- mass density (g cm⁻³) = 15.21
- total magnetization (μB/f.u.) = 0.0
- density of states at the Fermi level (states/eV per cell) = 3.934

Cell: 4.777 4.777 2.883 Å, 90.00 90.00 90.00°
Space group P4/mmm (No. 123)
Unique sites:
1 Ca 0.000 0.000 0.000 (multiplicity 1)
2 Re 0.000 0.500 0.500 (multiplicity 2)
3 Os 0.500 0.500 0.000 (multiplicity 1)

***

Arrangement 2

A plane-wave DFT calculation with GGA-PBE was carried out for an optimized crystal structure of CaRe2Os.

- mass density (g cm⁻³) = 15.04
- total magnetization (μB/f.u.) = 0.0
- density of states at the Fermi level (states/eV per cell) = 7.522

Cell: 3.054 4.596 9.482 Å, 90.00 90.00 90.00°
Space group Cmm2 (No. 35)
Unique sites:
1 Ca 0.000 0.000 0.000 (multiplicity 2)
2 Re 0.000 0.000 0.494 (multiplicity 2)
3 Re 0.000 0.500 0.723 (multiplicity 2)
4 Os 0.000 0.500 0.263 (multiplicity 2)

***

Most stable structure, least stable structure: arrangement 2, arrangement 1.

***

Arrangement 1

A plane-wave DFT calculation with GGA-PBE was carried out for an optimized crystal structure of Ca2ReOs.

- mass density (g cm⁻³) = 8.17
- total magnetization (μB/f.u.) = 0.0
- density of states at the Fermi level (states/eV per cell) = 4.563

Cell: 3.161 3.161 9.285 Å, 90.00 90.00 90.00°
Space group P4mm (No. 99)
Unique sites:
1 Ca 0.000 0.000 0.000 (multiplicity 1)
2 Ca 0.500 0.500 0.385 (multiplicity 1)
3 Re 0.500 0.500 0.758 (multiplicity 1)
4 Os 0.000 0.000 0.621 (multiplicity 1)

***

Arrangement 2

A plane-wave DFT calculation with GGA-PBE was carried out for an optimized crystal structure of Ca2ReOs.

- mass density (g cm⁻³) = 8.14
- total magnetization (μB/f.u.) = 0.0
- density of states at the Fermi level (states/eV per cell) = 7.791

Cell: 3.907 5.070 9.406 Å, 90.00 90.00 90.00°
Space group Imm2 (No. 44)
Unique sites:
1 Ca 0.000 0.000 0.000 (multiplicity 2)
2 Ca 0.000 0.500 0.221 (multiplicity 2)
3 Re 0.000 0.000 0.427 (multiplicity 2)
4 Os 0.000 0.500 0.785 (multiplicity 2)

***

Most stable structure, least stable structure: arrangement 1, arrangement 2.